Version A
# LiBe2Ag2

An optimized crystal structure of LiBe2Ag2 (PBE, Alexandria).

The structure in CIF format:
```
data_LiBe2Ag2
_cell_length_a 5.1719
_cell_length_b 5.1719
_cell_length_c 5.1719
_cell_angle_alpha 131.47
_cell_angle_beta 131.47
_cell_angle_gamma 71.08
_symmetry_space_group_name_H-M 'P 1'
_symmetry_Int_Tables_number 1
_symmetry_space_group_name_Hall 'P 1'
loop_
_atom_site_label
_atom_site_type_symbol
_atom_site_fract_x
_atom_site_fract_y
_atom_site_fract_z
Li1 Li 0.0000 0.0000 0.0000
Ag1 Ag 0.7500 0.2500 0.5000
Ag2 Ag 0.2500 0.7500 0.5000
Be1 Be 0.6255 0.6255 0.0000
Be2 Be 0.3745 0.3745 0.0000
```

Values from the calculation:
total magnetic moment = 0.000 μB/atom
D(E_F) = 1.086 states/eV/f.u.

***

Version B
# LiBe2Ag2

An optimized crystal structure of LiBe2Ag2 (PBE, Alexandria).

The structure in CIF format:
```
data_LiBe2Ag2
_cell_length_a 4.1249
_cell_length_b 4.1249
_cell_length_c 4.2741
_cell_angle_alpha 90.00
_cell_angle_beta 90.00
_cell_angle_gamma 90.00
_symmetry_space_group_name_H-M 'P 1'
_symmetry_Int_Tables_number 1
_symmetry_space_group_name_Hall 'P 1'
loop_
_atom_site_label
_atom_site_type_symbol
_atom_site_fract_x
_atom_site_fract_y
_atom_site_fract_z
Be1 Be 0.0000 0.5000 0.0000
Li1 Li 0.0000 0.0000 0.0000
Ag1 Ag 0.0000 0.0000 0.5000
Be2 Be 0.5000 0.0000 0.0000
Ag2 Ag 0.5000 0.5000 0.5000
```

Values from the calculation:
total magnetic moment = 0.000 μB/atom
D(E_F) = 1.880 states/eV/f.u.

***

Version C
# LiBe2Ag2

An optimized crystal structure of LiBe2Ag2 (PBE, Alexandria).

The structure in CIF format:
```
data_LiBe2Ag2
_cell_length_a 3.2315
_cell_length_b 3.2315
_cell_length_c 6.9908
_cell_angle_alpha 76.64
_cell_angle_beta 76.64
_cell_angle_gamma 90.00
_symmetry_space_group_name_H-M 'P 1'
_symmetry_Int_Tables_number 1
_symmetry_space_group_name_Hall 'P 1'
loop_
_atom_site_label
_atom_site_type_symbol
_atom_site_fract_x
_atom_site_fract_y
_atom_site_fract_z
Li1 Li 0.0000 0.0000 0.0000
Be1 Be 0.7500 0.2500 0.5000
Ag1 Ag 0.3902 0.3902 0.2197
Ag2 Ag 0.6098 0.6098 0.7803
Be2 Be 0.2500 0.7500 0.5000
```

Values from the calculation:
total magnetic moment = 0.000 μB/atom
D(E_F) = 1.591 states/eV/f.u.

***

Order from most stable to least stable according to the calculation: version C, version A, version B

***

Version A
# Li2Be2Ag

An optimized crystal structure of Li2Be2Ag (PBE, Alexandria).

The structure in CIF format:
```
data_Li2Be2Ag
_cell_length_a 6.5898
_cell_length_b 6.5898
_cell_length_c 2.8649
_cell_angle_alpha 90.00
_cell_angle_beta 90.00
_cell_angle_gamma 90.00
_symmetry_space_group_name_H-M 'P 1'
_symmetry_Int_Tables_number 1
_symmetry_space_group_name_Hall 'P 1'
loop_
_atom_site_label
_atom_site_type_symbol
_atom_site_fract_x
_atom_site_fract_y
_atom_site_fract_z
Ag1 Ag 0.0000 0.0000 0.0000
Li1 Li 0.3275 0.1725 0.5000
Li2 Li 0.6725 0.8275 0.5000
Li3 Li 0.8275 0.3275 0.5000
Be1 Be 0.3805 0.8805 0.0000
Be2 Be 0.8805 0.6195 0.0000
Ag2 Ag 0.5000 0.5000 0.0000
Be3 Be 0.1195 0.3805 0.0000
Be4 Be 0.6195 0.1195 0.0000
Li4 Li 0.1725 0.6725 0.5000
```

Values from the calculation:
total magnetic moment = 0.000 μB/atom
D(E_F) = 1.728 states/eV/f.u.

***

Version B
# Li2Be2Ag

An optimized crystal structure of Li2Be2Ag (PBE, Alexandria).

The structure in CIF format:
```
data_Li2Be2Ag
_cell_length_a 3.3499
_cell_length_b 3.3499
_cell_length_c 6.4198
_cell_angle_alpha 74.88
_cell_angle_beta 74.88
_cell_angle_gamma 90.00
_symmetry_space_group_name_H-M 'P 1'
_symmetry_Int_Tables_number 1
_symmetry_space_group_name_Hall 'P 1'
loop_
_atom_site_label
_atom_site_type_symbol
_atom_site_fract_x
_atom_site_fract_y
_atom_site_fract_z
Li1 Li 0.7500 0.2500 0.5000
Be1 Be 0.4110 0.4110 0.1781
Li2 Li 0.2500 0.7500 0.5000
Be2 Be 0.5890 0.5890 0.8219
Ag1 Ag 0.0000 0.0000 0.0000
```

Values from the calculation:
total magnetic moment = 0.000 μB/atom
D(E_F) = 2.159 states/eV/f.u.

***

Order from most stable to least stable according to the calculation: version A, version B

***

Version A
# Li2BeAg2

An optimized crystal structure of Li2BeAg2 (PBE, Alexandria).

The structure in CIF format:
```
data_Li2BeAg2
_cell_length_a 6.2997
_cell_length_b 6.2997
_cell_length_c 4.0838
_cell_angle_alpha 90.00
_cell_angle_beta 90.00
_cell_angle_gamma 90.00
_symmetry_space_group_name_H-M 'P 1'
_symmetry_Int_Tables_number 1
_symmetry_space_group_name_Hall 'P 1'
loop_
_atom_site_label
_atom_site_type_symbol
_atom_site_fract_x
_atom_site_fract_y
_atom_site_fract_z
Be1 Be 0.5000 0.5000 0.0000
Be2 Be 0.0000 0.0000 0.0000
Li1 Li 0.1607 0.6607 0.5000
Li2 Li 0.6607 0.8393 0.5000
Ag1 Ag 0.1560 0.3440 0.0000
Ag2 Ag 0.3440 0.8440 0.0000
Li3 Li 0.3393 0.1607 0.5000
Ag3 Ag 0.8440 0.6560 0.0000
Li4 Li 0.8393 0.3393 0.5000
Ag4 Ag 0.6560 0.1560 0.0000
```

Values from the calculation:
total magnetic moment = 0.000 μB/atom
D(E_F) = 2.316 states/eV/f.u.

***

Version B
# Li2BeAg2

An optimized crystal structure of Li2BeAg2 (PBE, Alexandria).

The structure in CIF format:
```
data_Li2BeAg2
_cell_length_a 6.9854
_cell_length_b 6.9854
_cell_length_c 2.9554
_cell_angle_alpha 90.00
_cell_angle_beta 90.00
_cell_angle_gamma 90.00
_symmetry_space_group_name_H-M 'P 1'
_symmetry_Int_Tables_number 1
_symmetry_space_group_name_Hall 'P 1'
loop_
_atom_site_label
_atom_site_type_symbol
_atom_site_fract_x
_atom_site_fract_y
_atom_site_fract_z
Li1 Li 0.3762 0.8762 0.0000
Ag1 Ag 0.3215 0.1785 0.5000
Ag2 Ag 0.8215 0.3215 0.5000
Li2 Li 0.8762 0.6238 0.0000
Li3 Li 0.6238 0.1238 0.0000
Be1 Be 0.5000 0.5000 0.0000
Ag3 Ag 0.6785 0.8215 0.5000
Be2 Be 0.0000 0.0000 0.0000
Li4 Li 0.1238 0.3762 0.0000
Ag4 Ag 0.1785 0.6785 0.5000
```

Values from the calculation:
total magnetic moment = 0.000 μB/atom
D(E_F) = 1.426 states/eV/f.u.

***

Order from most stable to least stable according to the calculation: version A, version B

***

Version A
# Lu2BeAg

An optimized crystal structure of Lu2BeAg (PBE, Alexandria).

The structure in CIF format:
```
data_Lu2BeAg
_cell_length_a 4.9060
_cell_length_b 4.9060
_cell_length_c 4.9060
_cell_angle_alpha 60.00
_cell_angle_beta 60.00
_cell_angle_gamma 60.00
_symmetry_space_group_name_H-M 'P 1'
_symmetry_Int_Tables_number 1
_symmetry_space_group_name_Hall 'P 1'
loop_
_atom_site_label
_atom_site_type_symbol
_atom_site_fract_x
_atom_site_fract_y
_atom_site_fract_z
Ag1 Ag 0.5000 0.5000 0.5000
Lu1 Lu 0.7500 0.7500 0.7500
Lu2 Lu 0.2500 0.2500 0.2500
Be1 Be 0.0000 0.0000 0.0000
```

Values from the calculation:
total magnetic moment = 0.000 μB/atom
D(E_F) = 4.197 states/eV/f.u.

***

Version B
# Lu2BeAg

An optimized crystal structure of Lu2BeAg (PBE, Alexandria).

The structure in CIF format:
```
data_Lu2BeAg
_cell_length_a 3.4199
_cell_length_b 3.4199
_cell_length_c 7.0056
_cell_angle_alpha 90.00
_cell_angle_beta 90.00
_cell_angle_gamma 90.00
_symmetry_space_group_name_H-M 'P 1'
_symmetry_Int_Tables_number 1
_symmetry_space_group_name_Hall 'P 1'
loop_
_atom_site_label
_atom_site_type_symbol
_atom_site_fract_x
_atom_site_fract_y
_atom_site_fract_z
Ag1 Ag 0.5000 0.5000 0.5000
Be1 Be 0.5000 0.5000 0.0000
Lu1 Lu 0.0000 0.0000 0.7696
Lu2 Lu 0.0000 0.0000 0.2304
```

Values from the calculation:
total magnetic moment = 0.000 μB/atom
D(E_F) = 3.062 states/eV/f.u.

***

Order from most stable to least stable according to the calculation: version B, version A